Entry 1:
A relaxed structure of MnRuS3, computed with GGA-PBE.

a = 4.3162 Å, b = 4.3162 Å, c = 4.3162 Å
α = 90.00°, β = 90.00°, γ = 90.00°
With the nearest neighbours (Å) after each atom.
Element x y z (fractional)
Mn  0.0000  0.0000  0.0000  6 S 2.16
Ru  0.5000  0.5000  0.5000  12 S 3.05
S  0.0000  0.0000  0.5000  2 Mn 2.16
S  0.0000  0.5000  0.0000  2 Mn 2.16
S  0.5000  0.0000  0.0000  2 Mn 2.16

Energy above the most stable polymorph in this dataset: 0 meV per atom
Formation energy without anion corrections: 774 meV per atom
Symmetry: No. 221

Entry 2:
A relaxed structure of TmZrRh4, computed with GGA-PBE.

a = 5.1781 Å, b = 5.1781 Å, c = 7.1557 Å
α = 110.38°, β = 110.38°, γ = 35.28°
With the nearest neighbours (Å) after each atom.
Element x y z (fractional)
Tm  0.0000  0.0000  0.0000  10 Rh 2.85-3.07, 2 Tm 3.14
Zr  0.0000  0.0000  0.5000  8 Rh 2.72-2.77
Rh  0.3343  0.3343  0.1786  2 Zr 2.77, 3 Tm 2.88-3.07, 5 Rh 2.90-2.97
Rh  0.3424  0.3424  0.6565  2 Zr 2.72, 5 Rh 2.80-2.97, 2 Tm 2.85
Rh  0.6576  0.6576  0.3435  2 Zr 2.72, 5 Rh 2.80-2.97, 2 Tm 2.85
Rh  0.6657  0.6657  0.8214  2 Zr 2.77, 3 Tm 2.88-3.07, 5 Rh 2.90-2.97

Formation energy: -0.470 eV per atom
Energy above the most stable polymorph in this dataset: 208 meV per atom
Symmetry: No. 12

- Which value of energy above the most stable polymorph in this dataset does entry 2 give?
  208 meV per atom